DFT (GGA-PBE) results for a geometry-optimized Sb2RhBr structure.

Cell lengths 3.5647, 5.6878, 5.6878 Å; angles 57.32, 90.00, 90.00 degrees
Closest atoms and distances in Å follow each position.
Sites, in units of the cell vectors:
1 Sb 0.0000 0.0000 0.0000  2 Rh 2.55
2 Sb 0.5000 0.2895 0.2895  2 Rh 2.74
3 Rh 0.5000 0.8179 0.8179  4 Sb 2.55-2.74, 2 Br 2.77
4 Br 0.0000 0.6055 0.6055  2 Rh 2.77, 2 Sb 2.92

Calculated values
crystal system	orthorhombic
distance to the lowest polymorph of the same formula	21.65	kJ per mole of atoms
calculated total energy	-17.70	eV for the cell shown
SG	Amm2 (38)
E_form (uncorrected)	-0.430	eV per formula unit